This record from the Alexandria database describes a geometry-optimized Ce6PmTe8 structure. The functional is GGA-PBE.

Lattice parameters (Å, degrees): 8.9570 8.9570 8.9570 60.00 60.00 60.00
Closest atoms and distances in Å follow each position.
Element x y z (fractional)
Ce1 0.0000 0.5000 0.5000  6 Te 3.17
Ce2 0.5000 0.0000 0.0000  6 Te 3.17
Ce3 0.5000 0.5000 0.0000  6 Te 3.17
Ce4 0.0000 0.0000 0.5000  6 Te 3.17
Ce5 0.0000 0.5000 0.0000  6 Te 3.17
Ce6 0.5000 0.0000 0.5000  6 Te 3.17
Pm1 0.0000 0.0000 0.0000  6 Te 3.21
Te1 0.7500 0.7500 0.7500  6 Ce 3.17
Te2 0.2500 0.2500 0.2500  6 Ce 3.17
Te3 0.7463 0.2537 0.2537  4 Ce 3.17, 1 Pm 3.21
Te4 0.2537 0.7463 0.7463  4 Ce 3.17, 1 Pm 3.21
Te5 0.2537 0.2537 0.7463  4 Ce 3.17, 1 Pm 3.21
Te6 0.7463 0.7463 0.2537  4 Ce 3.17, 1 Pm 3.21
Te7 0.7463 0.2537 0.7463  4 Ce 3.17, 1 Pm 3.21
Te8 0.2537 0.7463 0.2537  4 Ce 3.17, 1 Pm 3.21

ΔE_f (raw) in eV/atom: -1.394
SG: No. 225

This record from the Alexandria database describes a geometry-optimized CePm6Te8 structure. The functional is GGA-PBE.

Lattice parameters (Å, degrees): 8.9088 8.9088 8.9088 60.00 60.00 60.00
Closest atoms and distances in Å follow each position.
Element x y z (fractional)
Ce1 0.0000 0.0000 0.0000  6 Te 3.24
Pm1 0.0000 0.5000 0.5000  6 Te 3.15
Pm2 0.5000 0.0000 0.0000  6 Te 3.15
Pm3 0.5000 0.5000 0.0000  6 Te 3.15
Pm4 0.0000 0.0000 0.5000  6 Te 3.15
Pm5 0.0000 0.5000 0.0000  6 Te 3.15
Pm6 0.5000 0.0000 0.5000  6 Te 3.15
Te1 0.7500 0.7500 0.7500  6 Pm 3.15
Te2 0.2500 0.2500 0.2500  6 Pm 3.15
Te3 0.7430 0.2570 0.2570  4 Pm 3.15, 1 Ce 3.24
Te4 0.2570 0.7430 0.7430  4 Pm 3.15, 1 Ce 3.24
Te5 0.2570 0.2570 0.7430  4 Pm 3.15, 1 Ce 3.24
Te6 0.7430 0.7430 0.2570  4 Pm 3.15, 1 Ce 3.24
Te7 0.7430 0.2570 0.7430  4 Pm 3.15, 1 Ce 3.24
Te8 0.2570 0.7430 0.2570  4 Pm 3.15, 1 Ce 3.24

ΔE_f (raw) in eV/atom: -1.430
SG: No. 225

This record from the Alexandria database describes a geometry-optimized Ce3Pm5Te12 structure. The functional is GGA-PBE.

Lattice parameters (Å, degrees): 16.0803 16.0803 16.0803 109.47 109.47 109.47
Closest atoms and distances in Å follow each position.
Element x y z (fractional)
Ce1 0.7500 0.3750 0.1250  8 Te 3.36-3.53
Ce2 0.8750 0.7500 0.1250  8 Te 3.36-3.53
Ce3 0.3750 0.7500 0.6250  8 Te 3.36-3.53
Ce4 0.2500 0.1250 0.3750  8 Te 3.36-3.53
Ce5 0.8750 0.1250 0.2500  8 Te 3.36-3.53
Ce6 0.3750 0.6250 0.2500  8 Te 3.36-3.53
Ce7 0.6250 0.3750 0.7500  8 Te 3.36-3.53
Ce8 0.1250 0.8750 0.7500  8 Te 3.36-3.53
Ce9 0.7500 0.8750 0.6250  8 Te 3.36-3.53
Ce10 0.6250 0.2500 0.3750  8 Te 3.36-3.53
Ce11 0.1250 0.2500 0.8750  8 Te 3.36-3.53
Ce12 0.2500 0.6250 0.8750  8 Te 3.36-3.53
Pm1 0.1250 0.3750 0.2500  4 Te 2.97
Pm2 0.0000 0.5000 0.0000  6 Te 3.16
Pm3 0.0000 0.0000 0.0000  6 Te 3.16
Pm4 0.3750 0.2500 0.1250  4 Te 2.97
Pm5 0.5000 0.0000 0.5000  6 Te 3.16
Pm6 0.5000 0.5000 0.0000  6 Te 3.16
Pm7 0.1250 0.7500 0.3750  4 Te 2.97
Pm8 0.7500 0.1250 0.8750  4 Te 2.97
Pm9 0.7500 0.6250 0.3750  4 Te 2.97
Pm10 0.3750 0.1250 0.7500  4 Te 2.97
Pm11 0.6250 0.8750 0.2500  4 Te 2.97
Pm12 0.5000 0.5000 0.5000  6 Te 3.16
Pm13 0.5000 0.0000 0.0000  6 Te 3.16
Pm14 0.0000 0.0000 0.5000  6 Te 3.16
Pm15 0.2500 0.3750 0.6250  4 Te 2.97
Pm16 0.2500 0.8750 0.1250  4 Te 2.97
Pm17 0.0000 0.5000 0.5000  6 Te 3.16
Pm18 0.8750 0.2500 0.6250  4 Te 2.97
Pm19 0.6250 0.7500 0.8750  4 Te 2.97
Pm20 0.8750 0.6250 0.7500  4 Te 2.97
Te1 0.7246 0.1310 0.0509  2 Pm 2.97-3.16
Te2 0.3264 0.5509 0.4199  2 Pm 2.97-3.16
Te3 0.9491 0.3690 0.2754  2 Pm 2.97-3.16
Te4 0.5509 0.2246 0.1310  2 Pm 2.97-3.16
Te5 0.5936 0.7246 0.6736  2 Pm 2.97-3.16
Te6 0.9491 0.5801 0.1736  2 Pm 2.97-3.16
Te7 0.3264 0.7754 0.4064  2 Pm 2.97-3.16
Te8 0.0801 0.9064 0.1310  2 Pm 2.97-3.16
Te9 0.5801 0.9491 0.6736  2 Pm 2.97-3.16
Te10 0.7246 0.5936 0.1736  2 Pm 2.97-3.16
Te11 0.7754 0.4491 0.3690  2 Pm 2.97-3.16
Te12 0.8264 0.9199 0.0509  2 Pm 2.97-3.16
Te13 0.1310 0.7246 0.5509  2 Pm 2.97-3.16
Te14 0.3690 0.4199 0.0936  2 Pm 2.97-3.16
Te15 0.0936 0.9199 0.3690  2 Pm 2.97-3.16
Te16 0.4064 0.1310 0.5801  2 Pm 2.97-3.16
Te17 0.0936 0.1736 0.2246  2 Pm 2.97-3.16
Te18 0.4491 0.6736 0.0801  2 Pm 2.97-3.16
Te19 0.8264 0.9064 0.2754  2 Pm 2.97-3.16
Te20 0.1310 0.4064 0.0801  2 Pm 2.97-3.16
Te21 0.3690 0.9491 0.7754  2 Pm 2.97-3.16
Te22 0.5801 0.6310 0.4064  2 Pm 2.97-3.16
Te23 0.9199 0.8264 0.5509  2 Pm 2.97-3.16
Te24 0.7754 0.3264 0.9064  2 Pm 2.97-3.16
Te25 0.4199 0.3690 0.5936  2 Pm 2.97-3.16
Te26 0.0801 0.1736 0.4491  2 Pm 2.97-3.16
Te27 0.2246 0.6736 0.0936  2 Pm 2.97-3.16
Te28 0.1736 0.0936 0.7246  2 Pm 2.97-3.16
Te29 0.6310 0.0509 0.2246  2 Pm 2.97-3.16
Te30 0.8690 0.5936 0.9199  2 Pm 2.97-3.16
Te31 0.5509 0.3264 0.9199  2 Pm 2.97-3.16
Te32 0.5936 0.8690 0.4199  2 Pm 2.97-3.16
Te33 0.9064 0.8264 0.7754  2 Pm 2.97-3.16
Te34 0.9064 0.0801 0.6310  2 Pm 2.97-3.16
Te35 0.8690 0.2754 0.4491  2 Pm 2.97-3.16
Te36 0.1736 0.0801 0.9491  2 Pm 2.97-3.16
Te37 0.6310 0.5801 0.9064  2 Pm 2.97-3.16
Te38 0.4199 0.0509 0.3264  2 Pm 2.97-3.16
Te39 0.2754 0.4064 0.8264  2 Pm 2.97-3.16
Te40 0.2246 0.5509 0.6310  2 Pm 2.97-3.16
Te41 0.9199 0.0936 0.8690  2 Pm 2.97-3.16
Te42 0.6736 0.2246 0.5936  2 Pm 2.97-3.16
Te43 0.4491 0.7754 0.8690  2 Pm 2.97-3.16
Te44 0.0509 0.4199 0.8264  2 Pm 2.97-3.16
Te45 0.4064 0.2754 0.3264  2 Pm 2.97-3.16
Te46 0.0509 0.6310 0.7246  2 Pm 2.97-3.16
Te47 0.6736 0.4491 0.5801  2 Pm 2.97-3.16
Te48 0.2754 0.8690 0.9491  2 Pm 2.97-3.16

ΔE_f (raw) in eV/atom: -1.184
SG: No. 230

This record from the Alexandria database describes a geometry-optimized CePm4Te5 structure. The functional is GGA-PBE.

Lattice parameters (Å, degrees): 4.4673 4.4673 16.1413 97.95 97.95 90.00
Closest atoms and distances in Å follow each position.
Element x y z (fractional)
Ce1 0.0000 0.0000 0.0000  6 Te 3.14-3.16
Pm1 0.3987 0.3987 0.7974  6 Te 3.16-3.21
Pm2 0.8030 0.8030 0.6059  6 Te 3.10-3.21
Pm3 0.1970 0.1970 0.3941  6 Te 3.10-3.21
Pm4 0.6013 0.6013 0.2026  6 Te 3.16-3.21
Te1 0.0991 0.0991 0.1982  5 Pm 3.10-3.16, 1 Ce 3.14
Te2 0.5000 0.5000 0.0000  4 Ce 3.16, 2 Pm 3.21
Te3 0.9009 0.9009 0.8018  5 Pm 3.10-3.16, 1 Ce 3.14
Te4 0.2983 0.2983 0.5966  6 Pm 3.16-3.21
Te5 0.7017 0.7017 0.4034  6 Pm 3.16-3.21

ΔE_f (raw) in eV/atom: -1.402
SG: No. 139

This record from the Alexandria database describes a geometry-optimized Ce2PmTe4 structure. The functional is GGA-PBE.

Lattice parameters (Å, degrees): 8.2450 8.2450 8.2450 109.61 109.19 109.61
Closest atoms and distances in Å follow each position.
Element x y z (fractional)
Ce1 0.3750 0.8763 0.7513  8 Te 3.21-3.39
Ce2 0.5013 0.3763 0.6250  8 Te 3.21-3.39
Ce3 0.8750 0.1237 0.4987  8 Te 3.21-3.39
Ce4 0.2487 0.6237 0.1250  8 Te 3.21-3.39
Pm1 0.7500 0.5000 0.2500  8 Te 3.20-3.37
Pm2 0.0000 0.0000 0.0000  8 Te 3.20-3.37
Te1 0.7776 0.2503 0.8770  2 Pm 3.20-3.37, 4 Ce 3.21-3.39
Te2 0.9724 0.5994 0.7227  2 Pm 3.20-3.37, 4 Ce 3.21-3.39
Te3 0.6267 0.7497 0.5273  2 Pm 3.20-3.37, 4 Ce 3.21-3.39
Te4 0.1233 0.4006 0.3730  2 Pm 3.20-3.37, 4 Ce 3.21-3.39
Te5 0.4727 0.0994 0.2224  2 Pm 3.20-3.37, 4 Ce 3.21-3.39
Te6 0.6270 0.7503 0.0276  2 Pm 3.20-3.37, 4 Ce 3.21-3.39
Te7 0.2773 0.2497 0.8767  2 Pm 3.20-3.37, 4 Ce 3.21-3.39
Te8 0.1230 0.9006 0.3733  2 Pm 3.20-3.37, 4 Ce 3.21-3.39

ΔE_f (raw) in eV/atom: -1.402
SG: No. 122

This record from the Alexandria database describes a geometry-optimized CePm6Te8 structure. The functional is GGA-PBE.

Lattice parameters (Å, degrees): 8.3506 8.3506 8.3506 69.28 69.28 69.28
Closest atoms and distances in Å follow each position.
Element x y z (fractional)
Ce1 0.0000 0.0000 0.0000  6 Te 3.16
Pm1 0.5435 0.3060 0.9206  7 Te 3.17-3.33
Pm2 0.3060 0.9206 0.5435  7 Te 3.17-3.33
Pm3 0.9206 0.5435 0.3060  7 Te 3.17-3.33
Pm4 0.4565 0.6940 0.0794  7 Te 3.17-3.33
Pm5 0.6940 0.0794 0.4565  7 Te 3.17-3.33
Pm6 0.0794 0.4565 0.6940  7 Te 3.17-3.33
Te1 0.6727 0.6727 0.6727  6 Pm 3.27-3.33
Te2 0.3273 0.3273 0.3273  6 Pm 3.27-3.33
Te3 0.6323 0.9034 0.1916  1 Ce 3.16, 5 Pm 3.17-3.32
Te4 0.9034 0.1916 0.6323  1 Ce 3.16, 5 Pm 3.17-3.32
Te5 0.1916 0.6323 0.9034  1 Ce 3.16, 5 Pm 3.17-3.32
Te6 0.3677 0.0966 0.8084  1 Ce 3.16, 5 Pm 3.17-3.32
Te7 0.0966 0.8084 0.3677  1 Ce 3.16, 5 Pm 3.17-3.32
Te8 0.8084 0.3677 0.0966  1 Ce 3.16, 5 Pm 3.17-3.32

ΔE_f (raw) in eV/atom: -1.318
SG: No. 148

This record from the Alexandria database describes a geometry-optimized Ce2Pm2Te5 structure. The functional is GGA-PBE.

Lattice parameters (Å, degrees): 8.4175 9.0479 9.0479 124.57 90.00 90.00
Closest atoms and distances in Å follow each position.
Element x y z (fractional)
Ce1 0.0000 0.8044 0.1956  7 Te 3.13-3.33
Ce2 0.5000 0.3044 0.6956  7 Te 3.13-3.33
Ce3 0.0000 0.1956 0.8044  7 Te 3.13-3.33
Ce4 0.5000 0.6956 0.3044  7 Te 3.13-3.33
Pm1 0.3491 0.1477 0.1477  8 Te 3.19-3.40, 1 Pm 3.55
Pm2 0.6509 0.8523 0.8523  8 Te 3.19-3.40, 1 Pm 3.55
Pm3 0.8491 0.3523 0.3523  8 Te 3.19-3.40, 1 Pm 3.55
Pm4 0.1509 0.6477 0.6477  8 Te 3.19-3.40, 1 Pm 3.55
Te1 0.0000 0.0000 0.0000  2 Ce 3.13, 4 Pm 3.19-3.23
Te2 0.5000 0.5000 0.5000  2 Ce 3.13, 4 Pm 3.19-3.23
Te3 0.1543 0.2036 0.4802  3 Pm 3.20-3.40, 3 Ce 3.25-3.33
Te4 0.8457 0.5198 0.7964  3 Pm 3.20-3.40, 3 Ce 3.25-3.33
Te5 0.6543 0.0198 0.2964  3 Pm 3.20-3.40, 3 Ce 3.25-3.33
Te6 0.3457 0.7036 0.9802  3 Pm 3.20-3.40, 3 Ce 3.25-3.33
Te7 0.8457 0.7964 0.5198  3 Pm 3.20-3.40, 3 Ce 3.25-3.33
Te8 0.1543 0.4802 0.2036  3 Pm 3.20-3.40, 3 Ce 3.25-3.33
Te9 0.3457 0.9802 0.7036  3 Pm 3.20-3.40, 3 Ce 3.25-3.33
Te10 0.6543 0.2964 0.0198  3 Pm 3.20-3.40, 3 Ce 3.25-3.33

ΔE_f (raw) in eV/atom: -1.353
SG: No. 64

This record from the Alexandria database describes a geometry-optimized CePm5Te4 structure. The functional is GGA-PBE.

Lattice parameters (Å, degrees): 7.6868 9.3521 10.0970 90.00 90.00 90.00
Closest atoms and distances in Å follow each position.
Element x y z (fractional)
Ce1 0.8612 0.0000 0.0000  4 Te 3.04-3.13
Ce2 0.1388 0.5000 0.5000  4 Te 3.04-3.13
Pm1 0.2419 0.7988 0.8076  3 Te 3.10-3.20
Pm2 0.2419 0.2012 0.8076  3 Te 3.10-3.20
Pm3 0.7772 0.5000 0.0000  4 Te 3.03-3.05
Pm4 0.2419 0.7988 0.1924  3 Te 3.10-3.20
Pm5 0.2419 0.2012 0.1924  3 Te 3.10-3.20
Pm6 0.7581 0.7012 0.3076  3 Te 3.10-3.20
Pm7 0.7581 0.2988 0.3076  3 Te 3.10-3.20
Pm8 0.2228 0.0000 0.5000  4 Te 3.03-3.05
Pm9 0.7581 0.2988 0.6924  3 Te 3.10-3.20
Pm10 0.7581 0.7012 0.6924  3 Te 3.10-3.20
Te1 0.9334 0.0000 0.7043  5 Pm 3.03-3.20, 1 Ce 3.04
Te2 0.5615 0.7731 0.0000  3 Pm 3.05-3.14, 1 Ce 3.13
Te3 0.5615 0.2269 0.0000  3 Pm 3.05-3.14, 1 Ce 3.13
Te4 0.9334 0.0000 0.2957  5 Pm 3.03-3.20, 1 Ce 3.04
Te5 0.0666 0.5000 0.2043  5 Pm 3.03-3.20, 1 Ce 3.04
Te6 0.4385 0.7269 0.5000  3 Pm 3.05-3.14, 1 Ce 3.13
Te7 0.4385 0.2731 0.5000  3 Pm 3.05-3.14, 1 Ce 3.13
Te8 0.0666 0.5000 0.7957  5 Pm 3.03-3.20, 1 Ce 3.04

ΔE_f (raw) in eV/atom: -0.819
SG: No. 59

This record from the Alexandria database describes a geometry-optimized CePm2Te structure. The functional is GGA-PBE.

Lattice parameters (Å, degrees): 3.9286 3.9286 7.9480 90.00 90.00 90.00
Closest atoms and distances in Å follow each position.
Element x y z (fractional)
Te1 0.5000 0.5000 0.5000  8 Pm 3.30
Ce1 0.5000 0.5000 0.0000  8 Pm 3.54, 4 Ce 3.93
Pm1 0.0000 0.0000 0.7245  4 Te 3.30, 4 Ce 3.54, 1 Pm 3.57
Pm2 0.0000 0.0000 0.2755  4 Te 3.30, 4 Ce 3.54, 1 Pm 3.57

ΔE_f (raw) in eV/atom: -0.542
SG: No. 123

This record from the Alexandria database describes a geometry-optimized CePm2Te structure. The functional is GGA-PBE.

Lattice parameters (Å, degrees): 3.9523 3.9523 10.2758 78.91 78.91 60.00
Closest atoms and distances in Å follow each position.
Element x y z (fractional)
Ce1 0.4995 0.4995 0.5014  6 Pm 3.64-3.67, 6 Ce 3.95
Pm1 0.0718 0.0718 0.7845  3 Te 3.14
Pm2 0.2617 0.2617 0.2148  3 Te 3.14
Te1 0.6669 0.6669 0.9993  6 Pm 3.14

ΔE_f (raw) in eV/atom: -0.472
SG: No. 160

This record from the Alexandria database describes a geometry-optimized Ce4PmTe6 structure. The functional is GGA-PBE.

Lattice parameters (Å, degrees): 8.9382 8.9382 8.9382 88.88 88.88 91.12
Closest atoms and distances in Å follow each position.
Element x y z (fractional)
Ce1 0.3578 0.1422 0.2500  8 Te 3.26-3.54
Ce2 0.8578 0.2500 0.3578  8 Te 3.26-3.54
Ce3 0.2500 0.6422 0.1422  8 Te 3.26-3.54
Ce4 0.2500 0.2500 0.7500  6 Te 3.20
Ce5 0.7500 0.7500 0.2500  6 Te 3.20
Ce6 0.7500 0.3578 0.8578  8 Te 3.26-3.54
Ce7 0.1422 0.7500 0.6422  8 Te 3.26-3.54
Ce8 0.6422 0.8578 0.7500  8 Te 3.26-3.54
Pm1 0.5000 0.5000 0.5000  6 Te 3.06
Pm2 0.0000 0.0000 0.0000  6 Te 3.06
Te1 0.6737 0.0599 0.0856  1 Pm 3.06, 4 Ce 3.20-3.42
Te2 0.0856 0.3263 0.0599  1 Pm 3.06, 4 Ce 3.20-3.42
Te3 0.5856 0.4401 0.1737  1 Pm 3.06, 4 Ce 3.20-3.42
Te4 0.9401 0.0856 0.6737  1 Pm 3.06, 4 Ce 3.20-3.42
Te5 0.5599 0.1737 0.5856  1 Pm 3.06, 4 Ce 3.20-3.42
Te6 0.1737 0.4144 0.4401  1 Pm 3.06, 4 Ce 3.20-3.42
Te7 0.8263 0.5856 0.5599  1 Pm 3.06, 4 Ce 3.20-3.42
Te8 0.4401 0.8263 0.4144  1 Pm 3.06, 4 Ce 3.20-3.42
Te9 0.0599 0.9144 0.3263  1 Pm 3.06, 4 Ce 3.20-3.42
Te10 0.4144 0.5599 0.8263  1 Pm 3.06, 4 Ce 3.20-3.42
Te11 0.9144 0.6737 0.9401  1 Pm 3.06, 4 Ce 3.20-3.42
Te12 0.3263 0.9401 0.9144  1 Pm 3.06, 4 Ce 3.20-3.42

ΔE_f (raw) in eV/atom: -1.271
SG: No. 167

This record from the Alexandria database describes a geometry-optimized CePmTe4 structure. The functional is GGA-PBE.

Lattice parameters (Å, degrees): 7.3577 7.3577 9.3519 113.16 113.16 90.00
Closest atoms and distances in Å follow each position.
Element x y z (fractional)
Ce1 0.2500 0.7500 0.5000  8 Te 3.23
Ce2 0.5000 0.5000 0.0000  8 Te 3.23
Pm1 0.0000 0.0000 0.0000  8 Te 3.26
Pm2 0.7500 0.2500 0.5000  8 Te 3.26
Te1 0.1289 0.1250 0.7500  2 Ce 3.23, 2 Pm 3.26
Te2 0.8750 0.8711 0.2500  2 Ce 3.23, 2 Pm 3.26
Te3 0.1289 0.6250 0.7500  2 Ce 3.23, 2 Pm 3.26
Te4 0.3750 0.3789 0.2500  2 Ce 3.23, 2 Pm 3.26
Te5 0.6211 0.1250 0.7500  2 Ce 3.23, 2 Pm 3.26
Te6 0.6211 0.6250 0.7500  2 Ce 3.23, 2 Pm 3.26
Te7 0.3750 0.8711 0.2500  2 Ce 3.23, 2 Pm 3.26
Te8 0.8750 0.3789 0.2500  2 Ce 3.23, 2 Pm 3.26

ΔE_f (raw) in eV/atom: -1.071
SG: No. 141